# CdCuPtAu PBE optimized geometry
# N(E_F) ... 0.26 states/eV per atom
# Total magnetization ... 0.0 μB/f.u.
# Calculated formation energy ... -165 meV per atom
data_CdCuPtAu
_cell_length_a 4.0670
_cell_length_b 4.0670
_cell_length_c 7.9539
_cell_angle_alpha 90.00
_cell_angle_beta 90.00
_cell_angle_gamma 90.00
_symmetry_space_group_name_H-M 'I -4 m 2'
_symmetry_Int_Tables_number 119
_symmetry_space_group_name_Hall 'I -4 -2'
loop_
_atom_site_label
_atom_site_type_symbol
_atom_site_fract_x
_atom_site_fract_y
_atom_site_fract_z
Cd1 Cd 0.0000 0.0000 0.0000
Cu1 Cu 0.0000 0.0000 0.5000
Pt1 Pt 0.0000 0.5000 0.2500
Au1 Au 0.0000 0.5000 0.7500